Here is a relaxed Ba2AgPb3 crystal from the Alexandria database. Energies are from PBE-GGA.

Structure (POSCAR):
```
Ba2AgPb3
1.0
-6.5781 2.7023 -0.4465
-2.0361 -5.3705 -4.2173
1.9250 -3.2996 9.3827
Ba Ag Pb
4 2 6
Cartesian
-4.4801 -0.9657 3.3022
-5.4712 0.7350 -1.3654
-2.2091 -5.0021 1.4168
-3.1430 -3.4032 -3.2984
-5.1035 -2.8832 0.0254
-1.5857 -3.0845 4.6936
-6.7868 -2.7698 -2.2450
-4.0453 -4.4811 4.7209
0.0976 -3.1979 6.9639
-2.6439 -1.4866 -0.0020
-0.8176 -1.5904 2.4200
-5.8716 -4.3774 2.2990
```

offset from the most stable computed form	0.008	eV per atom
E_tot	-40.43	eV/cell
M_tot	0.00	μB/cell
DFT formation energy	-0.3991	eV/atom


Here is a relaxed Ba2AgPb3 crystal from the Alexandria database. Energies are from PBE-GGA.

Structure (POSCAR):
```
Ba2AgPb3
1.0
4.9980 0.0000 2.0932
2.2856 6.1860 1.5562
0.1122 -0.2174 6.7456
Ba Ag Pb
2 1 3
Cartesian
3.2642 1.0967 6.2332
4.1018 4.8723 4.2330
1.7699 2.3347 2.7876
5.7212 3.5964 7.3800
4.6893 1.4876 2.8303
2.6412 4.5182 7.7207
```

offset from the most stable computed form	0.000	eV per atom
E_tot	-20.27	eV/cell
M_tot	0.00	μB/cell
DFT formation energy	-0.4075	eV/atom


Here is a relaxed Ba2AgPb6 crystal from the Alexandria database. Energies are from PBE-GGA.

Structure (POSCAR):
```
Ba2AgPb6
1.0
6.5288 0.0057 3.7723
2.1764 6.1554 3.7723
0.0008 0.0005 7.5477
Ba Ag Pb
2 1 6
Cartesian
2.1731 1.5380 3.7734
6.5329 4.6236 11.3188
4.3530 3.0808 7.5461
1.9470 1.3780 7.5435
3.1536 4.7801 5.4575
5.5524 1.3816 9.6347
5.5567 1.3846 5.4575
3.1493 4.7770 9.6347
6.7590 4.7837 7.5487
```

E_tot	-31.34	eV/cell
M_tot	0.00	μB/cell
DFT formation energy	-0.2662	eV/atom


Here is a relaxed BaAgPb crystal from the Alexandria database. Energies are from PBE-GGA.

Structure (POSCAR):
```
BaAgPb
1.0
-1.2779 0.8948 -6.4950
-3.7004 -2.0670 -5.1650
-3.1946 2.4737 -0.2921
Pb Ba Ag
1 1 1
Cartesian
-4.3219 0.1696 -7.4761
-3.7998 1.2366 -4.1493
-3.2458 2.3689 -0.6188
```

E_tot	-9.04	eV/cell
M_tot	0.00	μB/cell
DFT formation energy	-0.1859	eV/atom


Here is a relaxed Ba12Ag5Pb crystal from the Alexandria database. Energies are from PBE-GGA.

Structure (POSCAR):
```
Ba12Ag5Pb
1.0
-10.0764 0.5629 -0.7647
3.0991 -9.0523 -3.2995
3.3666 0.7631 9.5141
Ba Ag Pb
12 5 1
Cartesian
-0.5555 -6.6021 3.7709
-3.0552 -1.1242 1.6791
-6.0982 -0.5229 5.6471
2.4874 -7.2034 -0.1971
-3.7488 -5.3619 0.7481
0.1381 -2.3644 4.7019
2.2933 -5.1275 6.7734
-5.9040 -2.5988 -1.3235
-3.8844 -4.0990 4.6904
0.2737 -3.6273 0.7596
3.5696 -7.8527 3.9275
-7.1803 0.1264 1.5225
-4.5734 -5.5645 -2.6639
-2.4040 -2.9249 -1.4003
-2.5908 -0.3167 5.1092
-1.0200 -7.4097 0.3407
0.0000 0.0000 0.0000
3.2328 -4.1446 3.1073
```

E_tot	-45.02	eV/cell
M_tot	0.00	μB/cell
DFT formation energy	-0.2214	eV/atom


Here is a relaxed BaAgPb4 crystal from the Alexandria database. Energies are from PBE-GGA.

Structure (POSCAR):
```
BaAgPb4
1.0
-5.2455 -1.0623 3.8152
-2.6348 4.9565 3.4191
-5.8604 2.4288 -1.7195
Ba Ag Pb
1 1 4
Cartesian
0.0000 0.0000 0.0000
-10.3055 4.7422 4.1361
-7.7771 1.8376 3.9778
-8.0851 3.5863 1.2055
-6.4694 4.8524 3.7794
-5.1497 2.3697 2.0668
```

offset from the most stable computed form	0.166	eV per atom
E_tot	-19.95	eV/cell
M_tot	0.00	μB/cell
DFT formation energy	-0.0568	eV/atom


Here is a relaxed BaAg5Pb crystal from the Alexandria database. Energies are from PBE-GGA.

Structure (POSCAR):
```
BaAg5Pb
1.0
5.8352 0.0000 0.0000
0.0000 9.5804 0.0000
0.0000 0.0000 11.8793
Ba Ag Pb
4 20 4
Cartesian
1.4588 2.2867 11.1567
4.3764 2.5035 5.2171
1.4588 7.0769 6.6622
4.3764 7.2937 0.7226
1.4588 5.5712 0.1976
4.3764 8.7995 6.1372
1.4588 0.7809 5.7420
4.3764 4.0093 11.6817
4.3764 3.0752 8.9121
1.4588 1.7151 2.9725
4.3764 7.8654 8.9068
1.4588 6.5053 2.9671
1.4588 8.9574 1.1832
4.3764 5.4132 7.1228
1.4588 4.1672 4.7564
4.3764 0.6230 10.6961
5.8299 4.1175 2.2624
0.0053 0.6727 8.2020
2.9229 8.9077 3.6772
2.9123 5.4630 9.6169
0.0053 5.4630 9.6169
5.8299 8.9077 3.6772
2.9123 0.6727 8.2020
2.9229 4.1175 2.2624
1.4588 8.2309 10.2007
4.3764 6.1398 4.2610
1.4588 3.4407 7.6182
4.3764 1.3496 1.6786
```

E_tot	-84.06	eV/cell
M_tot	0.00	μB/cell
DFT formation energy	-0.1611	eV/atom


Here is a relaxed Ba2AgPb crystal from the Alexandria database. Energies are from PBE-GGA.

Structure (POSCAR):
```
Ba2AgPb
1.0
-1.5880 3.1263 2.2294
-4.5370 0.2620 -3.5992
-5.4942 -10.0253 6.2060
Ba Ag Pb
4 2 2
Cartesian
-8.1145 -3.5205 2.9753
-3.5049 -3.1168 1.8612
-4.0799 -0.7149 -1.9125
-7.5390 -5.9218 6.7484
-2.8514 0.3903 1.2859
-8.7677 -7.0273 3.5502
-5.3260 -5.5830 3.9784
-6.2932 -1.0541 0.8578
```

E_tot	-23.68	eV/cell
M_tot	0.00	μB/cell
DFT formation energy	-0.3593	eV/atom


Here is a relaxed BaAg2Pb crystal from the Alexandria database. Energies are from PBE-GGA.

Structure (POSCAR):
```
BaAg2Pb
1.0
4.9336 -0.0014 0.0394
2.4686 4.2716 0.0394
2.4461 1.4111 5.8692
Pb Ba Ag
1 1 2
Cartesian
2.4656 1.4224 0.7396
4.9197 2.8381 3.0430
2.4494 1.4130 5.5792
7.3849 4.2602 5.4295
```

E_tot	-12.21	eV/cell
M_tot	0.00	μB/cell
DFT formation energy	-0.2193	eV/atom


Here is a relaxed Ba2AgPb crystal from the Alexandria database. Energies are from PBE-GGA.

Structure (POSCAR):
```
Ba2AgPb
1.0
-3.2524 6.3743 0.6157
-4.1646 1.5489 5.6432
6.5111 -2.0330 -2.2496
Pb Ba Ag
1 2 1
Cartesian
-3.3538 3.5826 2.8301
-0.2624 0.2803 0.2214
-0.1251 4.0448 0.6636
-0.8731 1.9440 3.4237
```

E_tot	-11.70	eV/cell
M_tot	0.00	μB/cell
DFT formation energy	-0.3249	eV/atom


Here is a relaxed Ba3AgPb crystal from the Alexandria database. Energies are from PBE-GGA.

Structure (POSCAR):
```
Ba3AgPb
1.0
-2.9076 -5.1280 2.1751
4.4061 -3.6184 -2.6410
3.4079 0.3032 5.2703
Pb Ba Ag
1 3 1
Cartesian
2.4532 -4.2216 2.4022
2.2030 -1.8092 -1.3205
1.7039 0.1516 2.6351
-1.4538 -2.5640 1.0875
0.0000 0.0000 0.0000
```

offset from the most stable computed form	0.176	eV per atom
E_tot	-12.78	eV/cell
M_tot	0.00	μB/cell
DFT formation energy	-0.0908	eV/atom


Here is a relaxed BaAg2Pb8 crystal from the Alexandria database. Energies are from PBE-GGA.

Structure (POSCAR):
```
BaAg2Pb8
1.0
-4.1893 -4.5304 -2.8091
4.9176 -4.6635 0.1873
-2.7213 -2.5420 8.1579
Ba Ag Pb
1 2 8
Cartesian
-0.9965 -5.8680 2.7680
-2.0947 -2.2652 -1.4046
2.4588 -2.3318 0.0936
0.0123 -7.4416 -0.3678
-4.1401 -6.6030 4.4723
-1.6341 -8.9795 4.5677
-2.4937 -5.0651 -0.4632
2.1471 -5.1329 1.0638
0.5008 -6.6708 5.9993
-0.3589 -2.7564 0.9683
-2.0052 -4.2943 5.9038
```

E_tot	-36.33	eV/cell
M_tot	0.00	μB/cell
DFT formation energy	0.0872	eV/atom


Which value of M_tot does entry 10 give? 0.00 μB/cell


The highest E_tot belongs to which entry? BaAgPb